A plane-wave DFT calculation with PBE was carried out for LaNdTcAg after structural relaxation.

Structure (extended XYZ):
```
4
Lattice="0.000 3.656 3.656 3.656 0.000 3.656 3.656 3.656 0.000" Properties=species:S:1:pos:R:3 pbc="T T T"
La 0.000 0.000 0.000
Nd 3.656 3.656 3.656
Tc 5.485 5.485 5.485
Ag 1.828 1.828 1.828
```

Properties
- ΔH_f (0 K): 0.025 eV per atom
- DOS at the Fermi energy: 1.131 states/eV per atom
- Magnetization: 0.00 μB per formula unit